# 1
A geometry-optimized BaZrSc structure, computed with PBE-GGA.

ΔE to the lowest computed polymorph	194.0	meV per atom

Unit cell a=5.637 b=5.637 c=3.177 alpha=90.00 beta=90.00 gamma=120.00
Fractional coordinates of all 3 atoms:
1 Ba 0.000 0.000 0.000
2 Zr 0.333 0.667 0.500
3 Sc 0.667 0.333 0.000


# 2
A geometry-optimized BaZrSc structure, computed with PBE-GGA.

ΔE to the lowest computed polymorph	728.4	meV per atom

Unit cell a=5.364 b=5.364 c=5.364 alpha=60.00 beta=60.00 gamma=60.00
Fractional coordinates of all 3 atoms:
1 Ba 0.000 0.000 0.000
2 Zr 0.750 0.750 0.750
3 Sc 0.500 0.500 0.500


# 3
A geometry-optimized BaZrSc2 structure, computed with PBE-GGA.

ΔE to the lowest computed polymorph	241.6	meV per atom

Unit cell a=5.946 b=5.946 c=5.946 alpha=131.98 beta=131.98 gamma=70.26
Fractional coordinates of all 4 atoms:
1 Ba 0.000 0.000 0.000
2 Zr 0.750 0.250 0.500
3 Sc 0.250 0.750 0.500
4 Sc 0.500 0.500 0.000


# 4
A geometry-optimized BaZrSc4 structure, computed with PBE-GGA.

Unit cell a=6.250 b=6.250 c=6.250 alpha=60.00 beta=60.00 gamma=60.00
Fractional coordinates of all 6 atoms:
1 Ba 0.000 0.000 0.000
2 Zr 0.250 0.250 0.250
3 Sc 0.141 0.620 0.620
4 Sc 0.620 0.141 0.620
5 Sc 0.620 0.620 0.141
6 Sc 0.620 0.620 0.620


| no. | volume (Å³/cell) | energy of formation from the pure elements (eV per formula unit) | theoretical density (g/cm³) |
| --- | --- | --- | --- |
| 1 | 87.4 | 1.60 | 5.195 |
| 2 | 109.1 | 3.20 | 4.162 |
| 3 | 113.9 | 1.89 | 4.644 |
| 4 | 172.7 | 2.84 | 3.927 |